[1]
Entry from the Alexandria database: a relaxed structure of Ba2MgAu7 (PBE-GGA). Values from VASP.

```
&SYSTEM
  ibrav = 0, nat = 10, ntyp = 3
/
ATOMIC_SPECIES
Ba 137.33 Ba.upf
Mg 24.30 Mg.upf
Au 196.97 Au.upf
ATOMIC_POSITIONS crystal
Ba 0.5000 0.0000 0.7351
Ba 0.0000 0.5000 0.2649
Mg 0.5000 0.5000 0.0000
Au 0.0000 0.5000 0.8634
Au 0.5000 0.0000 0.3603
Au 0.5000 0.0000 0.1366
Au 0.0000 0.5000 0.6397
Au 0.0000 0.0000 0.5000
Au 0.0000 0.0000 0.0000
Au 0.5000 0.5000 0.5000
CELL_PARAMETERS angstrom
-3.6420 1.6627 2.1183
-0.7308 -4.0395 1.9141
7.0098 3.2382 9.5103
```

Values from the calculation:
calculated formation energy: -0.521 eV per atom



[2]
Entry from the Alexandria database: a relaxed structure of PuPa2Ir3 (PBE-GGA). Values from VASP.

```
&SYSTEM
  ibrav = 0, nat = 12, ntyp = 3
/
ATOMIC_SPECIES
Pu 244.00 Pu.upf
Pa 231.04 Pa.upf
Ir 192.22 Ir.upf
ATOMIC_POSITIONS crystal
Pu 0.0642 0.0139 0.2951
Pu 0.9358 0.9861 0.7049
Pa 0.2783 0.6451 0.3721
Pa 0.3969 0.6852 0.9552
Pa 0.6031 0.3148 0.0448
Pa 0.7217 0.3549 0.6279
Ir 0.3907 0.9309 0.7221
Ir 0.6093 0.0691 0.2779
Ir 0.9391 0.7388 0.9438
Ir 0.2746 0.4292 0.6137
Ir 0.7254 0.5708 0.3863
Ir 0.0609 0.2612 0.0562
CELL_PARAMETERS angstrom
-4.7752 -2.6195 -1.2862
6.5145 -2.6482 -0.7161
-2.8122 -0.6104 8.3107
```

Values from the calculation:
calculated formation energy: -0.786 eV per atom



[3]
Entry from the Alexandria database: a relaxed structure of Zr5Hg6 (PBE-GGA). Values from VASP.

```
&SYSTEM
  ibrav = 0, nat = 11, ntyp = 2
/
ATOMIC_SPECIES
Zr 91.22 Zr.upf
Hg 200.59 Hg.upf
ATOMIC_POSITIONS crystal
Zr 0.0000 0.5000 0.0000
Zr 0.6458 0.6458 0.2917
Zr 0.3542 0.3542 0.7083
Zr 0.3006 0.8006 0.6013
Zr 0.6994 0.1994 0.3987
Hg 0.5000 0.8041 0.0000
Hg 0.5000 0.1959 0.0000
Hg 0.8487 0.0599 0.6974
Hg 0.8487 0.6375 0.6974
Hg 0.1513 0.9401 0.3026
Hg 0.1513 0.3625 0.3026
CELL_PARAMETERS angstrom
-4.1004 -1.3961 -2.1481
3.7950 -1.6005 -6.2039
1.1475 -4.8995 6.4351
```

Values from the calculation:
calculated formation energy: -0.075 eV per atom



[4]
Entry from the Alexandria database: a relaxed structure of Na2PmPtO4 (PBE-GGA). Values from VASP.

```
&SYSTEM
  ibrav = 0, nat = 8, ntyp = 4
/
ATOMIC_SPECIES
Na 22.99 Na.upf
Pm 145.00 Pm.upf
Pt 195.08 Pt.upf
O 16.00 O.upf
ATOMIC_POSITIONS crystal
Na 0.5000 0.7343 0.2657
Na 0.5000 0.2657 0.7343
Pm 0.0000 0.0000 0.0000
Pt 0.0000 0.5000 0.5000
O 0.6788 0.4521 0.9109
O 0.3212 0.0891 0.5479
O 0.0418 0.5479 0.0891
O 0.9582 0.9109 0.4521
CELL_PARAMETERS angstrom
-0.6074 -4.4897 -3.9558
3.7148 -1.1299 -3.8603
1.8096 -5.0848 0.9210
```

Values from the calculation:
formation energy (no corrections): -1365 meV per atom



[5]
Entry from the Alexandria database: a relaxed structure of Zr2MnCr (PBE-GGA). Values from VASP.

```
&SYSTEM
  ibrav = 0, nat = 4, ntyp = 3
/
ATOMIC_SPECIES
Cr 52.00 Cr.upf
Mn 54.94 Mn.upf
Zr 91.22 Zr.upf
ATOMIC_POSITIONS crystal
Cr 0.5000 0.2500 0.2500
Mn 0.5000 0.7500 0.7500
Zr 0.0000 0.0081 0.9913
Zr 0.0000 0.4919 0.5087
CELL_PARAMETERS angstrom
3.2349 0.0000 0.0000
0.0000 3.1803 0.6027
0.0000 1.9680 6.9936
```

Values from the calculation:
calculated formation energy: 0.090 eV per atom



[6]
Entry from the Alexandria database: a relaxed structure of K2NaGeH (PBE-GGA). Values from VASP.

```
&SYSTEM
  ibrav = 0, nat = 5, ntyp = 4
/
ATOMIC_SPECIES
Na 22.99 Na.upf
Ge 72.64 Ge.upf
K 39.10 K.upf
H 1.01 H.upf
ATOMIC_POSITIONS crystal
Na 0.0000 0.0000 0.0000
Ge 0.5000 0.5000 0.5000
K 0.0000 0.0000 0.5000
K 0.5000 0.0000 0.0000
H 0.0000 0.5000 0.0000
CELL_PARAMETERS angstrom
6.4583 0.0000 0.0000
0.0000 3.7490 0.0000
0.0000 0.0000 6.4583
```



[7]
Entry from the Alexandria database: a relaxed structure of TaZn2In (PBE-GGA). Values from VASP.

```
&SYSTEM
  ibrav = 0, nat = 4, ntyp = 3
/
ATOMIC_SPECIES
In 114.82 In.upf
Ta 180.95 Ta.upf
Zn 65.41 Zn.upf
ATOMIC_POSITIONS crystal
In 0.0000 0.4267 0.4921
Ta 0.5000 0.7932 0.7794
Zn 0.0000 0.2089 0.9857
Zn 0.5000 0.0713 0.2428
CELL_PARAMETERS angstrom
-0.1504 -2.6341 -3.3936
2.1563 -1.6544 1.1886
-2.8418 -3.8131 3.0856
```

Values from the calculation:
calculated formation energy: 0.188 eV per atom



[8]
Entry from the Alexandria database: a relaxed structure of H2PtPb (PBE-GGA). Values from VASP.

```
&SYSTEM
  ibrav = 0, nat = 4, ntyp = 3
/
ATOMIC_SPECIES
Pb 207.20 Pb.upf
H 1.01 H.upf
Pt 195.08 Pt.upf
ATOMIC_POSITIONS crystal
Pb 0.5000 0.5000 0.5000
H 0.3002 0.3002 0.0994
H 0.6998 0.6998 0.9006
Pt 0.0000 0.0000 0.0000
CELL_PARAMETERS angstrom
-1.8917 0.7182 2.5177
0.2558 -1.6838 2.7445
3.3926 3.3787 3.6573
```



[9]
Entry from the Alexandria database: a relaxed structure of HgP2NCl (PBE-GGA). Values from VASP.

```
&SYSTEM
  ibrav = 0, nat = 5, ntyp = 4
/
ATOMIC_SPECIES
P 30.97 P.upf
N 14.01 N.upf
Hg 200.59 Hg.upf
Cl 35.45 Cl.upf
ATOMIC_POSITIONS crystal
P 0.0000 0.5000 0.0000
P 0.5000 0.0000 0.0000
N 0.0000 0.0000 0.0000
Hg 0.5000 0.5000 0.5000
Cl 0.0000 0.0000 0.5000
CELL_PARAMETERS angstrom
-2.1941 -1.3211 -2.8817
-0.9162 -3.0908 2.1145
-5.5609 3.4599 2.6479
```

Values from the calculation:
formation energy (no corrections): 824 meV per atom



[10]
Entry from the Alexandria database: a relaxed structure of Ac3CoHg (PBE-GGA). Values from VASP.

```
&SYSTEM
  ibrav = 0, nat = 5, ntyp = 3
/
ATOMIC_SPECIES
Ac 227.00 Ac.upf
Co 58.93 Co.upf
Hg 200.59 Hg.upf
ATOMIC_POSITIONS crystal
Ac 0.0000 0.5000 0.0000
Ac 0.0000 0.0000 0.5000
Ac 0.5000 0.0000 0.0000
Co 0.0000 0.0000 0.0000
Hg 0.5000 0.5000 0.5000
CELL_PARAMETERS angstrom
5.5499 0.0000 0.0000
0.0000 5.5499 0.0000
0.0000 0.0000 5.5499
```

Values from the calculation:
calculated formation energy: -0.137 eV per atom



[11]
Entry from the Alexandria database: a relaxed structure of Cs2AlSbS4 (PBE-GGA). Values from VASP.

```
&SYSTEM
  ibrav = 0, nat = 16, ntyp = 4
/
ATOMIC_SPECIES
Cs 132.91 Cs.upf
Al 26.98 Al.upf
Sb 121.76 Sb.upf
S 32.06 S.upf
ATOMIC_POSITIONS crystal
Cs 0.1786 0.0000 0.6428
Cs 0.8214 0.0000 0.3572
Cs 0.5714 0.5000 0.8572
Cs 0.9286 0.5000 0.1428
Al 0.2500 0.5000 0.5000
Al 0.5000 0.0000 0.0000
Sb 0.7500 0.5000 0.5000
Sb 0.0000 0.0000 0.0000
S 0.3348 0.8143 0.0999
S 0.2490 0.1857 0.9001
S 0.8508 0.8143 0.9001
S 0.5653 0.1857 0.0999
S 0.4152 0.6857 0.4001
S 0.5010 0.3143 0.5999
S 0.8992 0.6857 0.5999
S 0.1847 0.3143 0.4001
CELL_PARAMETERS angstrom
-6.0818 -2.0581 0.0903
-1.9395 -4.5583 -6.2092
0.5434 -11.3380 6.4935
```

Values from the calculation:
formation energy (no corrections): -900 meV per atom



[12]
Entry from the Alexandria database: a relaxed structure of Pm2InSb4 (PBE-GGA). Values from VASP.

```
&SYSTEM
  ibrav = 0, nat = 7, ntyp = 3
/
ATOMIC_SPECIES
Pm 145.00 Pm.upf
In 114.82 In.upf
Sb 121.76 Sb.upf
ATOMIC_POSITIONS crystal
Pm 0.5000 0.0000 0.7235
Pm 0.0000 0.5000 0.2765
In 0.5000 0.5000 0.0000
Sb 0.5000 0.0000 0.1787
Sb 0.0000 0.5000 0.8213
Sb 0.5000 0.5000 0.5000
Sb 0.0000 0.0000 0.5000
CELL_PARAMETERS angstrom
-0.0628 -1.7363 4.0057
-0.7056 -3.9495 -1.7229
10.8665 -1.6950 -0.5644
```

Values from the calculation:
formation energy (no corrections): -677 meV per atom



[13]
Entry from the Alexandria database: a relaxed structure of Rb2TeCBr6 (PBE-GGA). Values from VASP.

```
&SYSTEM
  ibrav = 0, nat = 10, ntyp = 4
/
ATOMIC_SPECIES
C 12.01 C.upf
Te 127.60 Te.upf
Br 79.90 Br.upf
Rb 85.47 Rb.upf
ATOMIC_POSITIONS crystal
C 0.5000 0.5000 0.0000
Te 0.0000 0.0000 0.0000
Br 0.2679 0.2679 0.4643
Br 0.7321 0.7321 0.5357
Br 0.2668 0.2668 0.0000
Br 0.7332 0.7332 0.0000
Br 0.7332 0.2668 0.0000
Br 0.2668 0.7332 0.0000
Rb 0.7500 0.2500 0.5000
Rb 0.2500 0.7500 0.5000
CELL_PARAMETERS angstrom
-7.0796 -1.4841 2.1120
0.9591 -7.2366 -1.8699
-1.3291 -5.4352 5.1687
```

Values from the calculation:
formation energy (no corrections): -322 meV per atom



[14]
Entry from the Alexandria database: a relaxed structure of LaThTe4 (PBE-GGA). Values from VASP.

```
&SYSTEM
  ibrav = 0, nat = 12, ntyp = 3
/
ATOMIC_SPECIES
La 138.91 La.upf
Th 232.04 Th.upf
Te 127.60 Te.upf
ATOMIC_POSITIONS crystal
La 0.5000 0.0000 0.5000
La 0.0000 0.5000 0.5000
Th 0.0000 0.0000 0.0000
Th 0.5000 0.5000 0.0000
Te 0.8408 0.6550 0.1360
Te 0.6592 0.1550 0.8640
Te 0.3807 0.3726 0.3720
Te 0.1193 0.8726 0.6280
Te 0.1592 0.3450 0.8640
Te 0.3408 0.8450 0.1360
Te 0.6193 0.6274 0.6280
Te 0.8807 0.1274 0.3720
CELL_PARAMETERS angstrom
-0.5006 -7.0409 3.4158
7.1402 -1.8142 -2.6931
3.1153 2.9158 6.2955
```

Values from the calculation:
formation energy (no corrections): -1024 meV per atom



[15]
Entry from the Alexandria database: a relaxed structure of YZrZn (PBE-GGA). Values from VASP.

```
&SYSTEM
  ibrav = 0, nat = 6, ntyp = 3
/
ATOMIC_SPECIES
Zn 65.41 Zn.upf
Y 88.91 Y.upf
Zr 91.22 Zr.upf
ATOMIC_POSITIONS crystal
Zn 0.5000 0.0000 0.7487
Zn 0.0000 0.5000 0.2513
Y 0.5000 0.0000 0.1485
Y 0.0000 0.5000 0.8515
Zr 0.5000 0.5000 0.5000
Zr 0.0000 0.0000 0.5000
CELL_PARAMETERS angstrom
-3.1113 -1.5783 2.7153
3.0482 -0.5969 3.1458
-1.2567 6.7880 2.5056
```

Values from the calculation:
calculated formation energy: -0.161 eV per atom



[16]
Entry from the Alexandria database: a relaxed structure of La2SmAgRu (PBE-GGA). Values from VASP.

```
&SYSTEM
  ibrav = 0, nat = 5, ntyp = 4
/
ATOMIC_SPECIES
La 138.91 La.upf
Sm 150.36 Sm.upf
Ag 107.87 Ag.upf
Ru 101.07 Ru.upf
ATOMIC_POSITIONS crystal
La 0.0000 0.5000 0.9690
La 0.5000 0.0000 0.9691
Sm 0.0000 0.0000 0.4908
Ag 0.5000 0.5000 0.5696
Ru 0.0000 0.0000 0.0015
CELL_PARAMETERS angstrom
5.4341 0.0000 0.0000
0.0000 5.4338 0.0000
0.0000 0.0002 5.5457
```

Values from the calculation:
calculated formation energy: -0.096 eV per atom



[17]
Entry from the Alexandria database: a relaxed structure of TbGdGe (PBE-GGA). Values from VASP.

```
&SYSTEM
  ibrav = 0, nat = 3, ntyp = 3
/
ATOMIC_SPECIES
Ge 72.64 Ge.upf
Gd 157.25 Gd.upf
Tb 158.93 Tb.upf
ATOMIC_POSITIONS crystal
Ge 0.2500 0.2500 0.2500
Gd 0.0000 0.0000 0.0000
Tb 0.5000 0.5000 0.5000
CELL_PARAMETERS angstrom
-0.3555 -1.6616 4.6154
3.8678 0.2928 3.0238
-0.0515 3.1719 3.7584
```

Values from the calculation:
calculated formation energy: -0.549 eV per atom



[18]
Entry from the Alexandria database: a relaxed structure of PmCdHg2 (PBE-GGA). Values from VASP.

```
&SYSTEM
  ibrav = 0, nat = 4, ntyp = 3
/
ATOMIC_SPECIES
Cd 112.41 Cd.upf
Hg 200.59 Hg.upf
Pm 145.00 Pm.upf
ATOMIC_POSITIONS crystal
Cd 0.5000 0.0000 0.0000
Hg 0.0000 0.0000 0.5000
Hg 0.0000 0.5000 0.0000
Pm 0.5000 0.5000 0.5000
CELL_PARAMETERS angstrom
4.4792 0.0000 0.0000
0.0000 4.7691 0.0000
0.0000 0.0000 4.7691
```

Values from the calculation:
calculated formation energy: -0.327 eV per atom



[19]
Entry from the Alexandria database: a relaxed structure of AlMo2Rh (PBE-GGA). Values from VASP.

```
&SYSTEM
  ibrav = 0, nat = 4, ntyp = 3
/
ATOMIC_SPECIES
Mo 95.94 Mo.upf
Rh 102.91 Rh.upf
Al 26.98 Al.upf
ATOMIC_POSITIONS crystal
Mo 0.0000 0.0000 0.0000
Mo 0.5000 0.5000 0.0000
Rh 0.5000 0.0000 0.5000
Al 0.0000 0.5000 0.5000
CELL_PARAMETERS angstrom
5.0650 -0.0102 -0.0121
-2.4788 4.4170 -0.0121
0.2534 0.4318 2.6913
```

Values from the calculation:
calculated formation energy: -0.208 eV per atom



[20]
Entry from the Alexandria database: a relaxed structure of HgRh2Pb (PBE-GGA). Values from VASP.

```
&SYSTEM
  ibrav = 0, nat = 4, ntyp = 3
/
ATOMIC_SPECIES
Hg 200.59 Hg.upf
Rh 102.91 Rh.upf
Pb 207.20 Pb.upf
ATOMIC_POSITIONS crystal
Hg 0.5000 0.5000 0.0000
Rh 0.0000 0.0000 0.7452
Rh 0.0000 0.0000 0.2548
Pb 0.5000 0.5000 0.5000
CELL_PARAMETERS angstrom
-1.4447 -0.9886 2.8308
2.5896 -2.0058 0.6211
2.9910 4.8594 3.2234
```

Values from the calculation:
calculated formation energy: 0.078 eV per atom



M_tot? In order: 0.0; 10.4; 0.0; 1.0; 2.5; 0.7; 0.0; 0.0; 0.5; 0.0; 0.0; 0.0; 0.0; 0.0; 0.0; 0.0; 7.8; 0.0; 0.0; 0.0 Bohr magnetons per cell.
E? In order: -33.60; -129.24; -45.38; -44.18; -35.53; -10.07; -16.39; -15.66; -17.17; -20.42; -66.56; -33.47; -27.56; -62.12; -33.54; -27.18; -24.98; -7.58; -33.59; -18.40 eV for the cell shown.